Record 1
## PmSmI3 (PBE-GGA)

Data for crystalline PmSmI3 at its relaxed geometry.

a = 8.487 Å, b = 3.982 Å, c = 11.516 Å
α = 90.00°, β = 104.03°, γ = 90.00°
Atoms (fractional coordinates):
Pm 0.020 0.250 0.134
Pm 0.980 0.750 0.866
Sm 0.490 0.750 0.360
Sm 0.510 0.250 0.640
I 0.219 0.250 0.408
I 0.274 0.750 0.731
I 0.295 0.750 0.086
I 0.705 0.250 0.914
I 0.726 0.250 0.269
I 0.781 0.750 0.592

Results
Distance to the lowest polymorph of the same formula (meV/atom): 73
Space group: P2_1/m (11)

Record 2
## PmSmI5 (PBE-GGA)

Data for crystalline PmSmI5 at its relaxed geometry.

a = 9.411 Å, b = 4.277 Å, c = 14.956 Å
α = 90.00°, β = 95.53°, γ = 90.00°
Atoms (fractional coordinates):
Pm 0.106 0.250 0.150
Pm 0.894 0.750 0.850
Sm 0.413 0.750 0.342
Sm 0.587 0.250 0.658
I 0.069 0.750 0.306
I 0.131 0.250 0.929
I 0.322 0.250 0.483
I 0.349 0.750 0.127
I 0.369 0.750 0.711
I 0.631 0.250 0.289
I 0.651 0.250 0.873
I 0.678 0.750 0.517
I 0.869 0.750 0.071
I 0.931 0.250 0.694

Results
Space group: P2_1/m (11)

Number 1: formation energy (no corrections) -1049 meV per atom. Number 2: formation energy (no corrections) -1364 meV per atom.